HfZr2Sc2: relaxed, PBE-GGA.

Output
The value obtained for the energy relative to the lowest polymorph listed for this composition is 0 meV per atom. The value obtained for the formation energy is 39.2 meV per atom. As for the symmetry: No. 63. The crystal system is orthorhombic.

Geometry as extended XYZ:
```
10
Lattice="2.260 -11.477 0.000 2.260 11.477 0.000 0.000 0.000 4.515" Properties=species:S:1:pos:R:3 pbc="T T T"
Hf 2.260 7.985 3.386
Hf 2.260 -7.985 1.129
Zr 2.260 5.739 1.129
Zr 2.260 3.458 3.386
Zr 2.260 -3.458 1.129
Zr 2.260 -5.739 3.386
Sc 2.260 10.230 1.129
Sc 2.260 1.237 1.129
Sc 2.260 -1.237 3.386
Sc 2.260 -10.230 3.386
```